#A
VASP calculation (PBE) on MnOs2I after structural relaxation.

The structure in extended XYZ format:
```
4
Lattice="2.679 -3.586 -0.552 -0.682 -2.813 -3.459 2.934 -0.117 -3.424" Properties=species:S:1:pos:R:3 pbc="T T T"
I 2.466 -3.259 -3.717
Mn 0.000 0.000 0.000
Os 1.233 -1.629 -1.859
Os 3.699 -4.888 -5.576
```

Summary:
Magnetization   4.30 μB per formula unit

***

#B
VASP calculation (PBE) on MnOs2I after structural relaxation.

The structure in extended XYZ format:
```
8
Lattice="5.709 0.000 0.000 0.000 5.709 0.000 2.855 2.855 5.350" Properties=species:S:1:pos:R:3 pbc="T T T"
I 0.000 0.000 0.000
I 5.709 2.855 2.675
Mn 2.855 2.855 0.000
Mn 2.855 5.709 2.675
Os 3.983 1.427 1.337
Os 1.727 4.282 1.337
Os 4.282 4.581 4.012
Os 7.137 6.837 4.012
```

Summary:
Magnetization   0.00 μB per formula unit

***

If you had to name the least stable structure above, which would it be? It would be #B.